Record 1
An optimized crystal structure of NaCo2Sn2. Source: the Alexandria database, functional PBEsol.

Results
Energy relative to the elements, eV per atom: 0.166

Cell lengths 4.464, 4.464, 9.247 Å; angles 90.00, 90.00, 90.00 degrees
Space group I4/mmm (No. 139)
Symmetry-distinct sites (fractional):
Na: 0.000 0.000 0.000 [2 per cell]
Co: 0.000 0.000 0.385 [4 per cell]
Sn: 0.000 0.500 0.250 [4 per cell]

---

Record 2
An optimized crystal structure of Na3CoSn. Source: the Alexandria database, functional PBEsol.

Results
Energy relative to the elements, eV per atom: 1.052

Cell lengths 5.750, 5.750, 5.750 Å; angles 90.00, 90.00, 90.00 degrees
Space group Pm-3m (No. 221)
Symmetry-distinct sites (fractional):
Na: 0.000 0.000 0.500 [3 per cell]
Co: 0.500 0.500 0.500 [1 per cell]
Sn: 0.000 0.000 0.000 [1 per cell]